1.
# Li2Ce2PuSb2

An optimized crystal structure of Li2Ce2PuSb2 (PBE, Alexandria).

Cell and atoms, written as extended XYZ:
```
7
Lattice="4.7241 0.0000 0.0000 2.3621 4.0912 0.0000 2.3621 1.3637 8.8907" Properties=species:S:1:pos:R:3 pbc="T T T"
Sb 7.0862 4.0912 7.0962
Sb 2.3621 1.3637 1.7945
Li 4.7241 2.7275 6.9003
Li 4.7241 2.7275 1.9904
Ce 7.0862 4.0912 3.7006
Ce 2.3621 1.3637 5.1902
Pu 0.0000 0.0000 0.0000
```

Output
Raw total energy (eV/atom): -5.936
Mass density (g cm⁻³): 7.6
E_form (uncorrected) (kJ/mol of atoms): -45.21
Magnetic moment (μB per atom): 1.409
DOS(E_F) (states/eV per cell): 15.6
Crystal system: trigonal

---

2.
# SrCaAu2

An optimized crystal structure of SrCaAu2 (PBE, Alexandria).

Cell and atoms, written as extended XYZ:
```
4
Lattice="-4.5618 1.0393 5.4714 -6.7496 -2.2855 1.0227 6.7839 -1.6827 -1.7245" Properties=species:S:1:pos:R:3 pbc="T T T"
Sr -2.3817 -2.2484 1.0264
Au -0.0101 -0.0011 0.0058
Au -2.4413 -0.7131 3.9130
Ca -5.3501 -0.5894 3.0716
```

Output
Raw total energy (eV/atom): -3.186
Mass density (g cm⁻³): 7.5
Magnetic moment (μB per atom): 0.000
DOS(E_F) (states/eV per cell): 2.3
Energy of formation (eV/f.u.): -2.51
Crystal system: orthorhombic

---

3.
# Y12P3H5

An optimized crystal structure of Y12P3H5 (PBE, Alexandria).

Cell and atoms, written as extended XYZ:
```
80
Lattice="-10.8842 -5.4464 4.5236 10.1478 -4.2175 6.9157 -0.8715 12.9141 1.0284" Properties=species:S:1:pos:R:3 pbc="T T T"
Y -4.4315 1.6768 2.3298
Y 5.5091 3.1144 6.0316
Y 0.4980 4.8139 2.2320
Y -6.9932 -3.2462 7.3337
Y -1.7775 0.6002 4.1068
Y -3.6968 4.9711 3.2607
Y 2.8236 1.5735 10.1379
Y -4.7469 -5.3514 8.7131
Y -9.6476 6.0311 5.6725
Y -1.0759 3.8887 5.0828
Y 1.7603 -4.2842 7.0204
Y 2.7123 -1.1370 3.4258
Y -2.3025 1.7915 10.4897
Y 3.1390 8.6016 3.7546
Y -3.2181 1.9075 7.0179
Y -6.1816 6.0912 6.6148
Y 0.1696 2.6501 8.3609
Y 2.4402 4.6062 5.2469
Y 0.1105 -4.5500 10.2003
Y 0.6946 1.4587 1.9780
Y -3.3682 7.5344 5.4473
Y 5.0643 3.9408 9.2689
Y 0.3628 -7.9020 9.9526
Y 4.5737 -2.8410 5.8529
Y 0.2964 7.2039 4.9064
Y -6.6041 -4.0758 4.0901
Y -2.1059 -1.5637 10.2356
Y -4.3202 4.3872 9.0419
Y -1.9043 -3.9536 7.5612
Y -1.7184 7.8003 2.2673
Y 4.2377 0.2175 7.2360
Y 2.0889 -1.7209 9.2070
Y 4.9962 7.3261 8.3776
Y -3.6299 -2.2310 3.9928
Y 2.0220 5.4812 8.4749
Y 1.6102 1.3428 5.4497
Y -5.8456 3.0328 5.2316
Y -6.6722 -0.6906 3.1988
Y -0.1076 -2.5373 4.6291
Y -4.0481 -1.3559 7.2208
Y -1.9707 11.1522 2.5150
Y -0.5320 -0.6385 7.3849
Y 8.0397 -2.7809 6.7952
Y -1.5003 5.7875 7.8386
Y -7.1170 0.1358 6.4361
Y 5.3853 6.4964 5.1339
Y 7.8100 0.5685 7.0943
Y -9.4179 2.6817 5.3734
H -0.4357 6.4571 0.5142
H 2.2270 0.9662 3.4159
H 4.6382 4.3483 3.9720
H 5.0739 -2.1088 3.4578
H 5.9235 0.9988 6.1379
H 0.0457 4.7327 8.9139
H -3.8349 2.2841 9.0518
H -5.4421 -2.7232 2.2618
H -5.8779 3.7339 2.7760
H -1.6536 -1.4825 3.5538
H 0.5397 5.1282 4.3670
H -7.6573 6.6879 5.1570
H -2.1476 -1.8779 8.1006
H 1.8588 -3.8658 9.1355
H -3.4667 7.1160 3.3321
H -0.8039 1.6251 6.2338
H -7.5314 2.2514 6.3298
H 6.0494 -3.4377 7.3106
H -0.3682 -4.8320 5.7196
H 0.0000 0.0000 0.0000
P 6.8652 5.3145 7.3880
P 2.8588 7.3023 6.3531
P 0.1715 0.2962 10.0867
P -4.4667 -4.0521 6.1146
P -4.5925 0.3844 4.9418
P -3.6508 4.7000 6.1919
P 2.0429 -1.4498 6.2757
P -2.0218 -6.3145 9.2734
P -1.7794 2.9540 2.3810
P 2.9846 2.8658 7.5259
P -8.4731 -2.0642 5.0797
P 0.4139 9.5647 3.1942
```

Output
Raw total energy (eV/atom): -6.095
Mass density (g cm⁻³): 4.6
Magnetic moment (μB per atom): 0.000
DOS(E_F) (states/eV per cell): 60.9
Crystal system: cubic